[1]
Nd4Br5N: optimized geometry, PBE-GGA.

```
10
Lattice="9.088 -1.949 0.000 9.088 1.949 0.000 -1.949 0.000 8.138" Properties=species:S:1:pos:R:3 pbc="T T T"
Nd -0.553 0.000 2.422
Nd 5.731 0.000 3.476
Nd 10.496 0.000 4.662
Nd 16.781 0.000 5.716
Br 1.333 0.000 6.887
Br 2.480 0.000 2.638
Br 9.088 0.000 0.000
Br 13.747 0.000 5.499
Br 14.895 0.000 1.250
N 8.114 0.000 4.069
```

As for the uncorrected formation energy: -16.231 eV/f.u. The value obtained for the volume is 288 Å³/cell. The calculation puts the energy at -5.1993 eV per atom.



[2]
Nd4NiBr2N: optimized geometry, PBE-GGA.

```
8
Lattice="6.943 0.000 0.000 0.000 3.798 0.000 -2.327 0.000 7.535" Properties=species:S:1:pos:R:3 pbc="T T T"
Nd 0.966 0.000 1.396
Nd -0.098 1.899 6.099
Nd 4.715 1.899 1.436
Nd 3.651 0.000 6.138
Ni 3.472 0.000 0.000
Br -1.163 0.000 3.767
Br 2.308 1.899 3.767
N 0.000 1.899 0.000
```

As for the uncorrected formation energy: -8.305 eV/f.u. The value obtained for the volume is 199 Å³/cell. The calculation puts the energy at -5.6036 eV per atom.



[3]
Nd2BrNO: optimized geometry, PBE-GGA.

```
5
Lattice="4.033 0.000 0.000 -2.016 3.492 0.000 0.000 0.000 7.546" Properties=species:S:1:pos:R:3 pbc="T T T"
Nd 0.000 0.000 0.000
Nd 0.000 2.328 2.786
Br 2.016 1.164 5.221
N 0.000 0.000 2.287
O 0.000 2.328 0.334
```

As for the uncorrected formation energy: -11.395 eV/f.u. The value obtained for the volume is 106 Å³/cell. The calculation puts the energy at -7.1775 eV per atom.



[4]
Nd10Si10BrN17O9: optimized geometry, PBE-GGA.

```
94
Lattice="10.544 0.000 0.000 -0.013 11.253 0.000 -0.028 -0.013 11.663" Properties=species:S:1:pos:R:3 pbc="T T T"
Nd 0.000 0.000 0.000
Nd 10.509 8.657 8.970
Nd 0.032 8.615 2.776
Nd 0.201 2.827 5.914
Nd 1.472 4.118 9.687
Nd 1.539 4.142 2.067
Nd 2.847 8.327 0.095
Nd 2.925 10.931 8.935
Nd 2.981 5.457 5.848
Nd 3.002 10.885 2.836
Nd 5.311 11.040 5.913
Nd 5.316 5.307 8.918
Nd 5.340 5.320 2.869
Nd 5.700 2.659 0.051
Nd 6.843 9.775 9.733
Nd 6.885 9.793 2.022
Nd 8.099 8.441 5.846
Nd 8.162 5.595 0.043
Nd 8.279 3.022 9.013
Nd 8.308 3.041 2.730
Si 0.276 1.211 8.847
Si 0.320 1.281 2.908
Si 2.702 7.024 8.869
Si 2.744 7.090 2.887
Si 3.100 2.518 7.459
Si 3.147 2.501 4.294
Si 3.765 5.368 0.043
Si 4.541 11.025 0.051
Si 5.169 8.149 7.488
Si 5.208 8.164 4.300
Si 5.552 1.383 8.851
Si 5.597 1.391 2.915
Si 7.987 6.835 8.851
Si 8.028 6.844 2.900
Si 8.353 0.189 7.427
Si 8.392 0.202 4.302
Si 9.039 8.582 0.044
Si 9.780 2.936 0.048
Si 10.460 5.814 7.449
Si 10.508 5.799 4.314
Br 1.991 10.180 5.874
Br 6.210 4.559 5.892
N 0.557 5.507 5.893
N 0.597 10.900 9.421
N 1.189 6.329 8.510
N 1.273 6.290 3.297
N 1.737 1.994 8.368
N 1.825 1.953 3.329
N 2.384 8.661 2.343
N 2.609 2.892 5.866
N 3.312 6.217 10.297
N 3.369 6.192 1.476
N 3.889 6.987 7.625
N 3.950 6.989 4.134
N 4.352 1.344 7.630
N 4.424 1.345 4.165
N 5.012 0.584 1.474
N 4.988 0.590 10.304
N 5.703 8.505 5.903
N 6.499 7.617 8.446
N 6.580 7.657 3.382
N 7.051 0.689 8.455
N 7.128 0.727 3.243
N 7.641 5.260 9.388
N 7.654 5.277 2.365
N 7.735 11.152 5.854
N 8.065 3.100 0.064
N 8.381 10.169 0.047
N 8.595 7.740 10.257
N 8.624 7.739 1.484
N 9.179 6.971 7.574
N 9.247 6.972 4.150
N 9.618 1.351 7.594
N 9.681 1.347 4.159
N 10.296 2.170 10.264
N 10.346 2.155 1.478
O 0.209 8.749 0.047
O 0.607 10.979 2.366
O 2.375 8.588 9.376
O 2.887 10.762 0.041
O 3.037 3.862 0.033
O 3.400 4.043 8.097
O 3.447 4.028 3.658
O 4.824 9.679 8.089
O 4.899 9.712 3.721
O 5.174 9.467 0.046
O 5.415 5.054 0.006
O 5.860 2.950 9.350
O 5.882 2.964 2.411
O 8.677 9.872 7.952
O 8.753 9.903 3.759
O 10.127 4.246 7.981
O 10.170 4.233 3.779
O 10.468 4.490 0.060
```

As for the uncorrected formation energy: -92.284 eV/f.u. The value obtained for the volume is 1384 Å³/cell. The calculation puts the energy at -8.1281 eV per atom.



[5]
Nd8Os3Br3N: optimized geometry, PBE-GGA.

```
15
Lattice="7.040 -4.065 0.000 7.040 4.065 0.000 -4.702 0.000 7.831" Properties=species:S:1:pos:R:3 pbc="T T T"
Nd -0.152 0.000 5.328
Nd 3.588 2.157 5.331
Nd 5.790 2.157 2.501
Nd 2.341 0.000 2.320
Nd 7.037 0.000 5.512
Nd 3.588 -2.157 5.331
Nd 5.790 -2.157 2.501
Nd 9.530 0.000 2.503
Os 1.169 2.032 3.916
Os 1.169 -2.032 3.916
Os 4.689 0.000 3.916
Br 0.000 0.000 0.000
Br 3.520 2.032 0.000
Br 3.520 -2.032 0.000
N -2.351 0.000 3.916
```

As for the uncorrected formation energy: -9.522 eV/f.u. The value obtained for the volume is 448 Å³/cell. The calculation puts the energy at -6.3132 eV per atom.



[6]
Nd8Os3Br4N: optimized geometry, PBE-GGA.

```
16
Lattice="7.014 -4.052 0.000 7.014 4.052 0.000 -4.668 0.000 7.802" Properties=species:S:1:pos:R:3 pbc="T T T"
Nd -0.121 0.000 5.333
Nd 3.575 2.134 5.336
Nd 5.785 2.134 2.466
Nd 2.341 0.000 2.288
Nd 7.019 0.000 5.514
Nd 3.575 -2.134 5.336
Nd 5.785 -2.134 2.466
Nd 9.481 0.000 2.469
Os 1.173 2.026 3.901
Os 1.173 -2.026 3.901
Os 4.680 0.000 3.901
Br 0.000 0.000 0.000
Br 3.507 2.026 0.000
Br 3.507 -2.026 0.000
Br 7.014 0.000 0.000
N -2.334 0.000 3.901
```

As for the uncorrected formation energy: -13.023 eV/f.u. The value obtained for the volume is 443 Å³/cell. The calculation puts the energy at -6.2420 eV per atom.



[7]
Nd6Os2Br3N: optimized geometry, PBE-GGA.

```
12
Lattice="3.493 -6.039 0.000 3.493 6.039 0.000 -2.333 0.000 7.712" Properties=species:S:1:pos:R:3 pbc="T T T"
Nd 1.080 1.880 1.446
Nd -0.140 0.000 6.263
Nd 1.080 -1.880 1.446
Nd 3.573 1.880 6.265
Nd 4.793 0.000 1.449
Nd 3.573 -1.880 6.265
Os 3.493 2.021 0.000
Os 3.493 -2.021 0.000
Br 2.327 4.025 3.856
Br 2.327 0.000 3.856
Br 2.327 -4.025 3.856
N 0.000 0.000 0.000
```

As for the uncorrected formation energy: -10.579 eV/f.u. The value obtained for the volume is 325 Å³/cell. The calculation puts the energy at -6.2491 eV per atom.



[8]
Nd4PBr2N: optimized geometry, PBE-GGA.

```
8
Lattice="6.934 0.000 0.000 0.000 3.939 0.000 -2.309 0.000 7.326" Properties=species:S:1:pos:R:3 pbc="T T T"
Nd 0.994 0.000 1.359
Nd -0.238 1.970 5.932
Nd 4.863 1.970 1.394
Nd 3.631 0.000 5.967
P 3.467 0.000 0.000
Br -1.155 0.000 3.663
Br 2.313 1.970 3.663
N 0.000 1.970 0.000
```

As for the uncorrected formation energy: -11.317 eV/f.u. The value obtained for the volume is 200 Å³/cell. The calculation puts the energy at -5.9336 eV per atom.



[9]
Nd6P2Br3N: optimized geometry, PBE-GGA.

```
12
Lattice="3.494 -6.052 0.000 3.494 6.052 0.000 -2.325 0.000 7.328" Properties=species:S:1:pos:R:3 pbc="T T T"
Nd 1.072 1.857 1.401
Nd -0.181 0.000 5.919
Nd 1.072 -1.857 1.401
Nd 3.591 1.857 5.927
Nd 4.844 0.000 1.409
Nd 3.591 -1.857 5.927
P 3.494 2.015 0.000
P 3.494 -2.015 0.000
Br 2.332 3.984 3.664
Br 2.332 0.000 3.664
Br 2.332 -3.984 3.664
N 0.000 0.000 0.000
```

As for the uncorrected formation energy: -17.275 eV/f.u. The value obtained for the volume is 310 Å³/cell. The calculation puts the energy at -5.8372 eV per atom.



[10]
Nd2PuBr2N2: optimized geometry, PBE-GGA.

```
7
Lattice="-2.217 2.217 8.020 2.217 -2.217 8.020 2.217 2.217 -8.020" Properties=species:S:1:pos:R:3 pbc="T T T"
Nd 0.000 0.000 1.550
Nd 0.000 0.000 14.489
Pu 0.000 0.000 8.020
Br 0.000 0.000 5.016
Br 0.000 0.000 11.024
N 2.217 0.000 0.000
N 0.000 2.217 0.000
```

As for the uncorrected formation energy: -8.816 eV/f.u. The value obtained for the volume is 158 Å³/cell. The calculation puts the energy at -7.5257 eV per atom.